# ScTl3F6, optimized geometry, DFT PBEsol
data_ScTl3F6
_space_group_name_H-M_alt 'P 4/m n c'
_space_group_IT_number 128
_space_group_name_Hall '-P 4 2n'
_cell_length_a 6.304
_cell_length_b 6.304
_cell_length_c 9.330
_cell_angle_alpha 90.00
_cell_angle_beta 90.00
_cell_angle_gamma 90.00
loop_
_atom_site_label
_atom_site_type_symbol
_atom_site_fract_x
_atom_site_fract_y
_atom_site_fract_z
_atom_site_occupancy
Sc1 Sc 0.000 0.000 0.000 1
Tl1 Tl 0.000 0.000 0.500 1
Tl2 Tl 0.000 0.500 0.250 1
F1 F 0.000 0.000 0.217 1
F2 F 0.129 0.293 0.000 1
# raw formation energy = -2615 meV/atom
# M_tot = 0.000 μB/atom
# VASP energy = -104.4 eV per cell

=====

# Sc2TlF2, optimized geometry, DFT PBEsol
data_Sc2TlF2
_space_group_name_H-M_alt 'I 4/m m m'
_space_group_IT_number 139
_space_group_name_Hall '-I 4 2'
_cell_length_a 3.503
_cell_length_b 3.503
_cell_length_c 12.702
_cell_angle_alpha 90.00
_cell_angle_beta 90.00
_cell_angle_gamma 90.00
loop_
_atom_site_label
_atom_site_type_symbol
_atom_site_fract_x
_atom_site_fract_y
_atom_site_fract_z
_atom_site_occupancy
Sc1 Sc 0.000 0.000 0.141 1
Tl1 Tl 0.000 0.000 0.500 1
F1 F 0.000 0.500 0.250 1
# raw formation energy = -2240 meV/atom
# M_tot = 0.000 μB/atom
# VASP energy = -61.8 eV per cell

=====

# Sc2TlF, optimized geometry, DFT PBEsol
data_Sc2TlF
_space_group_name_H-M_alt 'F m -3 m'
_space_group_IT_number 225
_space_group_name_Hall '-F 4 2 3'
_cell_length_a 6.775
_cell_length_b 6.775
_cell_length_c 6.775
_cell_angle_alpha 90.00
_cell_angle_beta 90.00
_cell_angle_gamma 90.00
loop_
_atom_site_label
_atom_site_type_symbol
_atom_site_fract_x
_atom_site_fract_y
_atom_site_fract_z
_atom_site_occupancy
Sc1 Sc 0.250 0.250 0.250 1
Tl1 Tl 0.000 0.000 0.000 1
F1 F 0.000 0.000 0.500 1
# raw formation energy = -881 meV/atom
# M_tot = 0.000 μB/atom
# VASP energy = -85.2 eV per cell

=====

# ScTlF2, optimized geometry, DFT PBEsol
data_ScTlF2
_space_group_name_H-M_alt 'R -3 m'
_space_group_IT_number 166
_space_group_name_Hall '-R 3 2"'
_cell_length_a 3.2850
_cell_length_b 3.2850
_cell_length_c 25.9281
_cell_angle_alpha 90.00
_cell_angle_beta 90.00
_cell_angle_gamma 120.00
loop_
_atom_site_label
_atom_site_type_symbol
_atom_site_fract_x
_atom_site_fract_y
_atom_site_fract_z
_atom_site_occupancy
Sc1 Sc 0.0000 0.0000 0.0000 1
Tl1 Tl 0.0000 0.0000 0.5000 1
F1 F 0.0000 0.0000 0.3728 1
# raw formation energy = -2292 meV/atom
# M_tot = 0.215 μB/atom
# VASP energy = -66.8 eV per cell

=====

# ScWF2, optimized geometry, DFT PBEsol
data_ScWF2
_space_group_name_H-M_alt 'R -3 m'
_space_group_IT_number 166
_space_group_name_Hall '-R 3 2"'
_cell_length_a 2.7778
_cell_length_b 2.7778
_cell_length_c 22.3457
_cell_angle_alpha 90.00
_cell_angle_beta 90.00
_cell_angle_gamma 120.00
loop_
_atom_site_label
_atom_site_type_symbol
_atom_site_fract_x
_atom_site_fract_y
_atom_site_fract_z
_atom_site_occupancy
Sc1 Sc 0.0000 0.0000 0.0000 1
W1 W 0.0000 0.0000 0.5000 1
F1 F 0.0000 0.0000 0.4031 1
# raw formation energy = -1539 meV/atom
# M_tot = 0.000 μB/atom
# ΔE to the lowest computed polymorph = 0.0 kJ per mole of atoms
# VASP energy = -91.3 eV per cell

=====

# ScWF2, optimized geometry, DFT PBEsol
data_ScWF2
_space_group_name_H-M_alt 'F m -3 m'
_space_group_IT_number 225
_space_group_name_Hall '-F 4 2 3'
_cell_length_a 5.944
_cell_length_b 5.944
_cell_length_c 5.944
_cell_angle_alpha 90.00
_cell_angle_beta 90.00
_cell_angle_gamma 90.00
loop_
_atom_site_label
_atom_site_type_symbol
_atom_site_fract_x
_atom_site_fract_y
_atom_site_fract_z
_atom_site_occupancy
Sc1 Sc 0.000 0.000 0.000 1
W1 W 0.000 0.000 0.500 1
F1 F 0.250 0.250 0.250 1
# raw formation energy = -335 meV/atom
# M_tot = 0.000 μB/atom
# ΔE to the lowest computed polymorph = 116.1 kJ per mole of atoms
# VASP energy = -102.4 eV per cell

=====

# ScZn3F, optimized geometry, DFT PBEsol
data_ScZn3F
_space_group_name_H-M_alt 'P m -3 m'
_space_group_IT_number 221
_space_group_name_Hall '-P 4 2 3'
_cell_length_a 4.373
_cell_length_b 4.373
_cell_length_c 4.373
_cell_angle_alpha 90.00
_cell_angle_beta 90.00
_cell_angle_gamma 90.00
loop_
_atom_site_label
_atom_site_type_symbol
_atom_site_fract_x
_atom_site_fract_y
_atom_site_fract_z
_atom_site_occupancy
Sc1 Sc 0.000 0.000 0.000 1
Zn1 Zn 0.000 0.500 0.500 1
F1 F 0.500 0.500 0.500 1
# raw formation energy = -322 meV/atom
# M_tot = 0.000 μB/atom
# VASP energy = -14.9 eV per cell

=====

# ZrSc3F, optimized geometry, DFT PBEsol
data_ZrSc3F
_space_group_name_H-M_alt 'P m -3 m'
_space_group_IT_number 221
_space_group_name_Hall '-P 4 2 3'
_cell_length_a 4.544
_cell_length_b 4.544
_cell_length_c 4.544
_cell_angle_alpha 90.00
_cell_angle_beta 90.00
_cell_angle_gamma 90.00
loop_
_atom_site_label
_atom_site_type_symbol
_atom_site_fract_x
_atom_site_fract_y
_atom_site_fract_z
_atom_site_occupancy
Zr1 Zr 0.000 0.000 0.000 1
Sc1 Sc 0.000 0.500 0.500 1
F1 F 0.500 0.500 0.500 1
# raw formation energy = -912 meV/atom
# M_tot = 0.000 μB/atom
# VASP energy = -35.4 eV per cell

=====

# Zr2ScF2, optimized geometry, DFT PBEsol
data_Zr2ScF2
_space_group_name_H-M_alt 'I 4/m m m'
_space_group_IT_number 139
_space_group_name_Hall '-I 4 2'
_cell_length_a 4.007
_cell_length_b 4.007
_cell_length_c 10.791
_cell_angle_alpha 90.00
_cell_angle_beta 90.00
_cell_angle_gamma 90.00
loop_
_atom_site_label
_atom_site_type_symbol
_atom_site_fract_x
_atom_site_fract_y
_atom_site_fract_z
_atom_site_occupancy
Zr1 Zr 0.000 0.500 0.250 1
Sc1 Sc 0.000 0.000 0.000 1
F1 F 0.000 0.000 0.375 1
# raw formation energy = -1020 meV/atom
# M_tot = 0.031 μB/atom
# VASP energy = -67.5 eV per cell

=====

# SeF4, optimized geometry, DFT PBEsol
data_SeF4
_space_group_name_H-M_alt 'P 21 21 21'
_space_group_IT_number 19
_cell_length_a 5.315
_cell_length_b 5.763
_cell_length_c 10.564
_cell_angle_alpha 90.00
_cell_angle_beta 90.00
_cell_angle_gamma 90.00
loop_
_space_group_symop_operation_xyz
'x,y,z'
'-x+1/2,-y,z+1/2'
'x+1/2,-y+1/2,-z'
'-x,y+1/2,-z+1/2'
loop_
_atom_site_label
_atom_site_type_symbol
_atom_site_fract_x
_atom_site_fract_y
_atom_site_fract_z
_atom_site_occupancy
Se1 Se 0.147 0.115 0.121 1
F1 F 0.009 0.857 0.200 1
F2 F 0.094 0.913 0.719 1
F3 F 0.181 0.645 0.537 1
F4 F 0.233 0.072 0.509 1
# raw formation energy = -1762 meV/atom
# M_tot = 0.000 μB/atom
# VASP energy = -81.5 eV per cell

=====

# Si3SeF, optimized geometry, DFT PBEsol
data_Si3SeF
_space_group_name_H-M_alt 'P m -3 m'
_space_group_IT_number 221
_space_group_name_Hall '-P 4 2 3'
_cell_length_a 4.983
_cell_length_b 4.983
_cell_length_c 4.983
_cell_angle_alpha 90.00
_cell_angle_beta 90.00
_cell_angle_gamma 90.00
loop_
_atom_site_label
_atom_site_type_symbol
_atom_site_fract_x
_atom_site_fract_y
_atom_site_fract_z
_atom_site_occupancy
Si1 Si 0.000 0.000 0.500 1
Se1 Se 0.000 0.000 0.000 1
F1 F 0.500 0.500 0.500 1
# raw formation energy = 960 meV/atom
# M_tot = 0.000 μB/atom
# VASP energy = -18.2 eV per cell

=====

# SiSeF3, optimized geometry, DFT PBEsol
data_SiSeF3
_space_group_name_H-M_alt 'P m -3 m'
_space_group_IT_number 221
_space_group_name_Hall '-P 4 2 3'
_cell_length_a 4.089
_cell_length_b 4.089
_cell_length_c 4.089
_cell_angle_alpha 90.00
_cell_angle_beta 90.00
_cell_angle_gamma 90.00
loop_
_atom_site_label
_atom_site_type_symbol
_atom_site_fract_x
_atom_site_fract_y
_atom_site_fract_z
_atom_site_occupancy
Si1 Si 0.000 0.000 0.000 1
Se1 Se 0.500 0.500 0.500 1
F1 F 0.000 0.000 0.500 1
# raw formation energy = -1067 meV/atom
# M_tot = 0.467 μB/atom
# VASP energy = -20.7 eV per cell

=====

# SiSeF2, optimized geometry, DFT PBEsol
data_SiSeF2
_space_group_name_H-M_alt 'I -4 2 d'
_space_group_IT_number 122
_space_group_name_Hall 'I -4 2bw'
_cell_length_a 3.703
_cell_length_b 3.703
_cell_length_c 15.423
_cell_angle_alpha 90.00
_cell_angle_beta 90.00
_cell_angle_gamma 90.00
loop_
_atom_site_label
_atom_site_type_symbol
_atom_site_fract_x
_atom_site_fract_y
_atom_site_fract_z
_atom_site_occupancy
Si1 Si 0.000 0.000 0.000 1
Se1 Se 0.000 0.000 0.500 1
F1 F 0.219 0.250 0.125 1
# raw formation energy = -835 meV/atom
# M_tot = 0.000 μB/atom
# VASP energy = -67.2 eV per cell

=====

# SnSe3F, optimized geometry, DFT PBEsol
data_SnSe3F
_space_group_name_H-M_alt 'P m -3 m'
_space_group_IT_number 221
_space_group_name_Hall '-P 4 2 3'
_cell_length_a 4.676
_cell_length_b 4.676
_cell_length_c 4.676
_cell_angle_alpha 90.00
_cell_angle_beta 90.00
_cell_angle_gamma 90.00
loop_
_atom_site_label
_atom_site_type_symbol
_atom_site_fract_x
_atom_site_fract_y
_atom_site_fract_z
_atom_site_occupancy
Sn1 Sn 0.000 0.000 0.000 1
Se1 Se 0.000 0.500 0.500 1
F1 F 0.500 0.500 0.500 1
# raw formation energy = 74 meV/atom
# M_tot = 0.000 μB/atom
# VASP energy = -17.4 eV per cell

=====

# Sr2SeF2, optimized geometry, DFT PBEsol
data_Sr2SeF2
_space_group_name_H-M_alt 'I 4/m m m'
_space_group_IT_number 139
_space_group_name_Hall '-I 4 2'
_cell_length_a 3.953
_cell_length_b 3.953
_cell_length_c 12.892
_cell_angle_alpha 90.00
_cell_angle_beta 90.00
_cell_angle_gamma 90.00
loop_
_atom_site_label
_atom_site_type_symbol
_atom_site_fract_x
_atom_site_fract_y
_atom_site_fract_z
_atom_site_occupancy
Sr1 Sr 0.000 0.000 0.138 1
Se1 Se 0.000 0.000 0.500 1
F1 F 0.000 0.500 0.250 1
# raw formation energy = -3158 meV/atom
# M_tot = 0.000 μB/atom
# VASP energy = -54.3 eV per cell

=====

# Ta3SeF, optimized geometry, DFT PBEsol
data_Ta3SeF
_space_group_name_H-M_alt 'P m -3 m'
_space_group_IT_number 221
_space_group_name_Hall '-P 4 2 3'
_cell_length_a 4.303
_cell_length_b 4.303
_cell_length_c 4.303
_cell_angle_alpha 90.00
_cell_angle_beta 90.00
_cell_angle_gamma 90.00
loop_
_atom_site_label
_atom_site_type_symbol
_atom_site_fract_x
_atom_site_fract_y
_atom_site_fract_z
_atom_site_occupancy
Ta1 Ta 0.000 0.000 0.500 1
Se1 Se 0.500 0.500 0.500 1
F1 F 0.000 0.000 0.000 1
# raw formation energy = 347 meV/atom
# M_tot = 0.000 μB/atom
# ΔE to the lowest computed polymorph = 0.0 kJ per mole of atoms
# VASP energy = -41.7 eV per cell

=====

# TaSe3F, optimized geometry, DFT PBEsol
data_TaSe3F
_space_group_name_H-M_alt 'P m -3 m'
_space_group_IT_number 221
_space_group_name_Hall '-P 4 2 3'
_cell_length_a 4.482
_cell_length_b 4.482
_cell_length_c 4.482
_cell_angle_alpha 90.00
_cell_angle_beta 90.00
_cell_angle_gamma 90.00
loop_
_atom_site_label
_atom_site_type_symbol
_atom_site_fract_x
_atom_site_fract_y
_atom_site_fract_z
_atom_site_occupancy
Ta1 Ta 0.000 0.000 0.000 1
Se1 Se 0.000 0.500 0.500 1
F1 F 0.500 0.500 0.500 1
# raw formation energy = 598 meV/atom
# M_tot = 0.313 μB/atom
# VASP energy = -23.0 eV per cell

=====

# TmSeF, optimized geometry, DFT PBEsol
data_TmSeF
_space_group_name_H-M_alt 'P 63/m m c'
_space_group_IT_number 194
_space_group_name_Hall '-P 6c 2c'
_cell_length_a 3.9786
_cell_length_b 3.9786
_cell_length_c 17.4669
_cell_angle_alpha 90.00
_cell_angle_beta 90.00
_cell_angle_gamma 120.00
loop_
_atom_site_label
_atom_site_type_symbol
_atom_site_fract_x
_atom_site_fract_y
_atom_site_fract_z
_atom_site_occupancy
Tm1 Tm 0.0000 0.0000 0.0000 1
Tm2 Tm 0.3333 0.6667 0.2500 1
Se1 Se 0.3333 0.6667 0.0894 1
F1 F 0.0000 0.0000 0.2500 1
F2 F 0.3333 0.6667 0.7500 1
# raw formation energy = -2861 meV/atom
# M_tot = 0.000 μB/atom
# VASP energy = -77.0 eV per cell

=====

# Y16Se16F15, optimized geometry, DFT PBEsol
data_Y16Se16F15
_space_group_name_H-M_alt 'P 1 m 1'
_space_group_IT_number 6
_cell_length_a 9.874
_cell_length_b 4.060
_cell_length_c 25.255
_cell_angle_alpha 90.00
_cell_angle_beta 97.55
_cell_angle_gamma 90.00
loop_
_space_group_symop_operation_xyz
'x,y,z'
'x,-y,z'
loop_
_atom_site_label
_atom_site_type_symbol
_atom_site_fract_x
_atom_site_fract_y
_atom_site_fract_z
_atom_site_occupancy
Y1 Y 0.000 0.000 0.000 1
Y2 Y 0.030 0.500 0.621 1
Y3 Y 0.081 0.000 0.251 1
Y4 Y 0.114 0.500 0.867 1
Y5 Y 0.169 0.000 0.498 1
Y6 Y 0.196 0.500 0.118 1
Y7 Y 0.280 0.500 0.367 1
Y8 Y 0.417 0.000 0.740 1
Y9 Y 0.498 0.000 0.993 1
Y10 Y 0.535 0.500 0.621 1
Y11 Y 0.583 0.000 0.243 1
Y12 Y 0.613 0.500 0.875 1
Y13 Y 0.658 0.000 0.497 1
Y14 Y 0.698 0.500 0.125 1
Y15 Y 0.779 0.500 0.378 1
Y16 Y 0.914 0.000 0.751 1
Se1 Se 0.057 0.500 0.426 1
Se2 Se 0.140 0.000 0.693 1
Se3 Se 0.226 0.000 0.942 1
Se4 Se 0.267 0.500 0.570 1
Se5 Se 0.308 0.000 0.193 1
Se6 Se 0.351 0.500 0.815 1
Se7 Se 0.396 0.000 0.441 1
Se8 Se 0.434 0.500 0.068 1
Se9 Se 0.519 0.500 0.318 1
Se10 Se 0.676 0.000 0.800 1
Se11 Se 0.761 0.000 0.050 1
Se12 Se 0.800 0.500 0.676 1
Se13 Se 0.845 0.000 0.302 1
Se14 Se 0.887 0.500 0.924 1
Se15 Se 0.927 0.000 0.549 1
Se16 Se 0.970 0.500 0.175 1
F1 F 0.057 0.000 0.831 1
F2 F 0.057 0.500 0.036 1
F3 F 0.139 0.000 0.082 1
F4 F 0.139 0.500 0.286 1
F5 F 0.222 0.000 0.332 1
F6 F 0.449 0.500 0.704 1
F7 F 0.501 0.000 0.657 1
F8 F 0.529 0.500 0.957 1
F9 F 0.581 0.000 0.911 1
F10 F 0.614 0.500 0.207 1
F11 F 0.616 0.500 0.544 1
F12 F 0.666 0.000 0.161 1
F13 F 0.697 0.500 0.459 1
F14 F 0.747 0.000 0.413 1
F15 F 0.972 0.500 0.786 1
# raw formation energy = -2830 meV/atom
# M_tot = 0.020 μB/atom
# VASP energy = -332.7 eV per cell

=====

# Y3SeF, optimized geometry, DFT PBEsol
data_Y3SeF
_space_group_name_H-M_alt 'P m -3 m'
_space_group_IT_number 221
_space_group_name_Hall '-P 4 2 3'
_cell_length_a 4.701
_cell_length_b 4.701
_cell_length_c 4.701
_cell_angle_alpha 90.00
_cell_angle_beta 90.00
_cell_angle_gamma 90.00
loop_
_atom_site_label
_atom_site_type_symbol
_atom_site_fract_x
_atom_site_fract_y
_atom_site_fract_z
_atom_site_occupancy
Y1 Y 0.000 0.000 0.500 1
Se1 Se 0.500 0.500 0.500 1
F1 F 0.000 0.000 0.000 1
# raw formation energy = -1071 meV/atom
# M_tot = 0.000 μB/atom
# VASP energy = -31.6 eV per cell